Record 1
{"formula": "KCrF5", "functional": "PBE+U", "state": "relaxed", "cell": [[4.812, -3.621, 0.000], [4.812, 3.621, 0.000], [-2.997, 0.000, 7.093]], "species": ["K", "K", "Cr", "Cr", "F", "F", "F", "F", "F", "F", "F", "F", "F", "F"], "fractional_positions": [[0.038, 0.962, 0.750], [0.962, 0.038, 0.250], [0.500, 0.500, 0.000], [0.500, 0.500, 0.500], [0.230, 0.727, 0.028], [0.270, 0.323, 0.397], [0.273, 0.770, 0.472], [0.323, 0.270, 0.897], [0.442, 0.558, 0.750], [0.558, 0.442, 0.250], [0.677, 0.730, 0.103], [0.727, 0.230, 0.528], [0.730, 0.677, 0.603], [0.770, 0.273, 0.972]], "sg": "C2/c, No. 15", "dos_ef_per_ev_cell": 0.00, "mass_density_g_cm3": 2.5, "total_energy_ev_per_atom": -5.14}

Record 2
{"formula": "K2Cr3F9", "functional": "PBE+U", "state": "relaxed", "cell": [[4.890, -6.088, 0.000], [4.890, 6.088, 0.000], [-3.081, 0.000, 7.684]], "species": ["K", "K", "K", "K", "Cr", "Cr", "Cr", "Cr", "Cr", "Cr", "F", "F", "F", "F", "F", "F", "F", "F", "F", "F", "F", "F", "F", "F", "F", "F", "F", "F"], "fractional_positions": [[0.211, 0.232, 0.268], [0.232, 0.211, 0.768], [0.768, 0.789, 0.232], [0.789, 0.768, 0.732], [0.000, 0.500, 0.000], [0.156, 0.680, 0.503], [0.320, 0.844, 0.997], [0.500, 0.000, 0.500], [0.680, 0.156, 0.003], [0.844, 0.320, 0.497], [0.007, 0.757, 0.041], [0.118, 0.388, 0.545], [0.127, 0.546, 0.248], [0.176, 0.824, 0.750], [0.239, 0.565, 0.957], [0.243, 0.993, 0.459], [0.388, 0.118, 0.045], [0.435, 0.761, 0.543], [0.454, 0.873, 0.252], [0.546, 0.127, 0.748], [0.565, 0.239, 0.457], [0.612, 0.882, 0.955], [0.757, 0.007, 0.541], [0.761, 0.435, 0.043], [0.824, 0.176, 0.250], [0.873, 0.454, 0.752], [0.882, 0.612, 0.455], [0.993, 0.243, 0.959]], "sg": "C2/c, No. 15", "dos_ef_per_ev_cell": 0.00, "mass_density_g_cm3": 2.9, "total_energy_ev_per_atom": -5.69}

Record 3
{"formula": "KCrF", "functional": "PBE+U", "state": "relaxed", "cell": [[2.536, -2.525, 0.000], [2.536, 2.525, 0.000], [-0.056, 0.000, 10.988]], "species": ["K", "K", "Cr", "Cr", "F", "F"], "fractional_positions": [[0.000, 0.000, 0.000], [0.503, 0.503, 0.694], [0.002, 0.002, 0.442], [0.500, 0.500, 0.285], [0.002, 0.002, 0.635], [0.499, 0.499, 0.929]], "de_polymorph_mev_per_atom": 7, "sg": "Cm, No. 8", "dos_ef_per_ev_cell": 1.13, "mass_density_g_cm3": 2.6, "total_energy_ev_per_atom": -4.74}